# PBE-GGA Tl2CrIn, relaxed
# - Energy of formation from the pure elements: 404 meV per atom
# - Excess energy over the best structure of this formula in the dataset: 0.088 eV/atom
data_Tl2CrIn
_cell_length_a 3.4646
_cell_length_b 3.4646
_cell_length_c 29.0810
_cell_angle_alpha 90.00
_cell_angle_beta 90.00
_cell_angle_gamma 120.00
_symmetry_space_group_name_H-M 'R -3 m'
_symmetry_Int_Tables_number 166
_symmetry_space_group_name_Hall '-R 3 2"'
loop_
_atom_site_label
_atom_site_type_symbol
_atom_site_fract_x
_atom_site_fract_y
_atom_site_fract_z
Tl1 Tl 0.0000 0.0000 0.2422
Cr1 Cr 0.0000 0.0000 0.5000
In1 In 0.0000 0.0000 0.0000

=====

# PBE-GGA NaCo2Ge2, relaxed
# - Energy of formation from the pure elements: -91 meV per atom
# - Excess energy over the best structure of this formula in the dataset: 0.065 eV/atom
data_NaCo2Ge2
_cell_length_a 7.182
_cell_length_b 7.182
_cell_length_c 2.678
_cell_angle_alpha 90.00
_cell_angle_beta 90.00
_cell_angle_gamma 90.00
_symmetry_space_group_name_H-M 'P 4/m b m'
_symmetry_Int_Tables_number 127
_symmetry_space_group_name_Hall '-P 4 2ab'
loop_
_atom_site_label
_atom_site_type_symbol
_atom_site_fract_x
_atom_site_fract_y
_atom_site_fract_z
Na1 Na 0.000 0.000 0.000
Co1 Co 0.136 0.364 0.000
Ge1 Ge 0.156 0.656 0.500